Entry 1:
A plane-wave DFT calculation with PBE was carried out for crystalline CsPaSiO5 at its relaxed geometry.

Cell lengths 7.522, 9.957, 8.194 Å; angles 90.00, 116.49, 90.00 degrees
Space group C2/c (No. 15)
Unique sites:
Cs  0.000  0.164  0.250
Pa  0.000  0.500  0.000
Si  0.000  0.194  0.750
O  0.000  0.447  0.250
O  0.063  0.294  0.621
O  0.192  0.095  0.873

Calculated values
Spin magnetization ... 0.0 μB/cell
Formation energy without anion corrections ... -2.93 eV/atom
E ... -0.5877 Ry per atom
Density ... 5.7 Mg/m³
Crystal system ... monoclinic



Entry 2:
A plane-wave DFT calculation with PBE was carried out for crystalline Cs2PaSiO6 at its relaxed geometry.

Cell lengths 6.7102, 6.7102, 5.4742 Å; angles 90.00, 90.00, 120.00 degrees
Space group P-3m1 (No. 164)
Unique sites:
Cs  0.3333  0.6667  0.3635
Pa  0.0000  0.0000  0.0000
Si  0.0000  0.0000  0.5000
O  0.1237  0.2474  0.7059

Calculated values
Spin magnetization ... 0.0 μB/cell
Formation energy without anion corrections ... -2.36 eV/atom
E ... -0.5140 Ry per atom
Density ... 4.8 Mg/m³
Crystal system ... trigonal



Entry 3:
A plane-wave DFT calculation with PBE was carried out for crystalline Cs2PaSi3O12 at its relaxed geometry.

Cell lengths 6.8550, 6.8550, 18.1983 Å; angles 90.00, 90.00, 120.00 degrees
Space group R-3m (No. 166, hexagonal axes)
Unique sites:
Cs  0.0000  0.0000  0.1154
Pa  0.0000  0.0000  0.5000
Si  0.0000  0.5000  0.0000
O  0.0404  0.5202  0.0959
O  0.0849  0.5424  0.3436

Calculated values
Spin magnetization ... 12.7 μB/cell
Formation energy without anion corrections ... -2.09 eV/atom
E ... -0.5085 Ry per atom
Density ... 5.2 Mg/m³
Crystal system ... trigonal



Entry 4:
A plane-wave DFT calculation with PBE was carried out for crystalline Cs2PaSnO6 at its relaxed geometry.

Cell lengths 8.714, 8.714, 8.714 Å; angles 90.00, 90.00, 90.00 degrees
Space group Fm-3m (No. 225)
Unique sites:
Cs  0.250  0.250  0.250
Pa  0.000  0.000  0.000
Sn  0.000  0.000  0.500
O  0.000  0.000  0.253

Calculated values
Spin magnetization ... 4.4 μB/cell
Formation energy without anion corrections ... -2.14 eV/atom
E ... -0.4874 Ry per atom
Density ... 7.1 Mg/m³
Crystal system ... cubic



Entry 5:
A plane-wave DFT calculation with PBE was carried out for crystalline CsPaSn2O7 at its relaxed geometry.

Cell lengths 3.891, 3.891, 11.873 Å; angles 90.00, 90.00, 90.00 degrees
Space group P4/mmm (No. 123)
Unique sites:
Cs  0.000  0.000  0.000
Pa  0.000  0.000  0.500
Sn  0.500  0.500  0.302
O  0.000  0.500  0.371
O  0.500  0.500  0.143
O  0.500  0.500  0.500

Calculated values
Spin magnetization ... 0.1 μB/cell
Formation energy without anion corrections ... -1.94 eV/atom
E ... -0.4971 Ry per atom
Density ... 6.6 Mg/m³
Crystal system ... tetragonal



Entry 6:
A plane-wave DFT calculation with PBE was carried out for crystalline Cs2PaSn3O12 at its relaxed geometry.

Cell lengths 7.6211, 7.6211, 19.5360 Å; angles 90.00, 90.00, 120.00 degrees
Space group R-3m (No. 166, hexagonal axes)
Unique sites:
Cs  0.0000  0.0000  0.1218
Pa  0.0000  0.0000  0.5000
Sn  0.0000  0.5000  0.0000
O  0.0662  0.5331  0.3569
O  0.0687  0.5343  0.1046

Calculated values
Spin magnetization ... 15.1 μB/cell
Formation energy without anion corrections ... -1.53 eV/atom
E ... -0.4505 Ry per atom
Density ... 5.3 Mg/m³
Crystal system ... trigonal



Entry 7:
A plane-wave DFT calculation with PBE was carried out for crystalline Cs2SrPa2O7 at its relaxed geometry.

Cell lengths 4.433, 4.433, 24.145 Å; angles 90.00, 90.00, 90.00 degrees
Space group I4/mmm (No. 139)
Unique sites:
Cs  0.000  0.000  0.194
Sr  0.000  0.000  0.000
Pa  0.000  0.000  0.410
O  0.000  0.000  0.325
O  0.000  0.000  0.500
O  0.000  0.500  0.078

Calculated values
Spin magnetization ... 0.0 μB/cell
Formation energy without anion corrections ... -3.04 eV/atom
E ... -0.5732 Ry per atom
Density ... 6.5 Mg/m³
Crystal system ... tetragonal



Entry 8:
A plane-wave DFT calculation with PBE was carried out for crystalline Cs3Sr2PaO6 at its relaxed geometry.

Cell lengths 6.490, 11.234, 7.234 Å; angles 90.00, 107.22, 90.00 degrees
Space group C2/m (No. 12)
Unique sites:
Cs  0.000  0.000  0.000
Cs  0.000  0.331  0.000
Sr  0.000  0.167  0.500
Pa  0.000  0.500  0.500
O  0.202  0.355  0.671
O  0.232  0.500  0.325

Calculated values
Spin magnetization ... 0.0 μB/cell
Formation energy without anion corrections ... -2.53 eV/atom
E ... -0.4623 Ry per atom
Density ... 5.9 Mg/m³
Crystal system ... monoclinic



Entry 9:
A plane-wave DFT calculation with PBE was carried out for crystalline CsSr2Pa2O7 at its relaxed geometry.

Cell lengths 4.643, 4.643, 20.327 Å; angles 90.00, 90.00, 90.00 degrees
Space group I4/mmm (No. 139)
Unique sites:
Cs  0.000  0.000  0.000
Sr  0.000  0.500  0.250
Pa  0.000  0.000  0.392
O  0.000  0.000  0.283
O  0.000  0.000  0.500
O  0.000  0.500  0.120

Calculated values
Spin magnetization ... 2.0 μB/cell
Formation energy without anion corrections ... -3.01 eV/atom
E ... -0.5758 Ry per atom
Density ... 6.7 Mg/m³
Crystal system ... tetragonal



Entry 10:
A plane-wave DFT calculation with PBE was carried out for crystalline Cs2Sr2PaO6 at its relaxed geometry.

Cell lengths 6.481, 10.989, 7.323 Å; angles 90.00, 107.87, 90.00 degrees
Space group C2/m (No. 12)
Unique sites:
Cs  0.000  0.171  0.000
Sr  0.000  0.337  0.500
Pa  0.000  0.000  0.500
O  0.196  0.148  0.661
O  0.226  0.000  0.333

Calculated values
Spin magnetization ... 2.3 μB/cell
Formation energy without anion corrections ... -2.55 eV/atom
E ... -0.4835 Ry per atom
Density ... 5.1 Mg/m³
Crystal system ... monoclinic



Entry 11:
A plane-wave DFT calculation with PBE was carried out for crystalline CsSr2PaO5 at its relaxed geometry.

Cell lengths 4.465, 6.542, 11.852 Å; angles 90.00, 90.00, 90.00 degrees
Space group Immm (No. 71)
Unique sites:
Cs  0.000  0.000  0.000
Sr  0.000  0.500  0.225
Pa  0.000  0.000  0.500
O  0.000  0.217  0.361
O  0.000  0.500  0.000

Calculated values
Spin magnetization ... 0.0 μB/cell
Formation energy without anion corrections ... -2.95 eV/atom
E ... -0.5310 Ry per atom
Density ... 5.9 Mg/m³
Crystal system ... orthorhombic



Entry 12:
A plane-wave DFT calculation with PBE was carried out for crystalline CsPaTa2O8 at its relaxed geometry.

Cell lengths 6.1578, 6.1578, 8.5253 Å; angles 90.00, 90.00, 120.00 degrees
Space group P-3m1 (No. 164)
Unique sites:
Cs  0.0000  0.0000  0.0000
Pa  0.0000  0.0000  0.5000
Ta  0.3333  0.6667  0.2778
O  0.1642  0.3283  0.3483
O  0.3333  0.6667  0.0692

Calculated values
Spin magnetization ... 0.0 μB/cell
Formation energy without anion corrections ... -2.92 eV/atom
E ... -0.6660 Ry per atom
Density ... 5.1 Mg/m³
Crystal system ... trigonal